CsKSb4, optimized geometry, DFT PBE; symmetry = C2/c (15); E above lowest polymorph = 0 meV per atom
1.0
-6.983 -4.556 1.327
7.562 -5.727 -1.077
0.846 6.811 6.635
Cs K Sb
2 2 8
Cartesian
3.780 1.131 5.397
-2.355 -4.603 1.488
0.756 -2.020 5.523
0.669 -1.452 1.362
6.719 -1.439 3.943
-4.216 1.115 5.747
4.082 -2.350 3.128
1.064 -4.837 3.048
0.361 1.365 3.837
-2.657 -1.121 3.757
5.641 -4.586 1.138
-5.294 -2.033 2.943

CsK2Sb2, optimized geometry, DFT PBE; symmetry = C2/m (12); E above lowest polymorph = 18 meV per atom
1.0
5.222 0.000 0.000
0.000 6.819 0.793
-2.611 -1.144 6.845
Cs K Sb
1 2 2
Cartesian
0.000 0.000 0.000
0.000 1.899 5.002
2.611 3.777 2.637
2.611 0.175 3.150
0.000 5.500 4.489

CsKSb, optimized geometry, DFT PBE; symmetry = I4mm (107); E above lowest polymorph = 147 meV per atom
1.0
-1.907 -1.275 4.069
2.560 -3.907 -0.024
4.382 5.656 1.145
Cs Sb K
1 1 1
Cartesian
4.898 0.386 5.098
2.964 1.929 1.994
2.207 -1.367 3.288

CsKSb, optimized geometry, DFT PBE; symmetry = P-3m1 (164); E above lowest polymorph = 11 meV per atom
1.0
5.944 0.000 0.000
-2.972 5.150 -0.007
0.000 0.011 10.733
Cs K Sb
2 2 2
Cartesian
2.972 1.719 1.914
0.000 3.442 8.811
0.000 3.439 4.795
2.972 1.722 5.931
2.972 5.156 6.850
0.000 0.005 3.876

CsK2Sb2, optimized geometry, DFT PBE; symmetry = I4/mmm (139); E above lowest polymorph = 263 meV per atom
1.0
-2.071 1.590 -5.278
-4.064 -4.249 0.315
-7.213 2.849 0.404
Cs Sb K
1 2 2
Cartesian
0.000 0.000 0.000
-6.176 1.555 -3.678
-7.173 -1.365 -0.881
-4.128 -0.261 -1.743
-9.220 0.450 -2.816

Cs2K4Sb, optimized geometry, DFT PBE; symmetry = I4/mmm (139); DFT total energy = -1.594 eV/atom
1.0
6.862 0.000 0.000
0.000 6.862 0.000
3.431 3.431 11.851
Cs Sb K
2 1 4
Cartesian
3.431 3.431 3.868
6.862 6.862 7.984
0.000 0.000 0.000
3.431 3.431 8.476
6.862 6.862 3.375
0.000 3.431 0.000
3.431 0.000 0.000

CsKSb, optimized geometry, DFT PBE; symmetry = F-43m (216); E above lowest polymorph = 159 meV per atom
1.0
6.240 0.000 0.000
3.120 5.404 0.000
3.120 1.801 5.095
Cs Sb K
1 1 1
Cartesian
0.000 0.000 0.000
3.120 1.801 1.274
6.240 3.603 2.548

CsK2Sb2, optimized geometry, DFT PBE; symmetry = P4/mbm (127); E above lowest polymorph = 0 meV per atom
1.0
-5.471 -7.865 -0.765
7.896 -5.404 -0.907
0.159 -0.584 4.867
Cs Sb K
2 4 4
Cartesian
0.000 0.000 0.000
1.213 -6.635 -0.836
4.907 -7.950 -1.115
-0.125 -10.310 -1.233
-2.482 -5.320 -0.557
2.551 -2.959 -0.439
4.437 -5.233 1.698
2.985 -10.044 1.168
-1.852 -8.620 1.498
-0.400 -3.809 2.027

CsKSb4, optimized geometry, DFT PBE; symmetry = F-43m (216); E above lowest polymorph = 40 meV per atom
1.0
6.707 0.000 0.000
3.354 5.809 0.000
3.354 1.936 5.476
Cs Sb K
1 4 1
Cartesian
0.000 0.000 0.000
6.707 3.872 0.816
6.707 2.060 3.379
8.276 4.778 3.379
5.138 4.778 3.379
3.354 1.936 1.369

CsKSb5, optimized geometry, DFT PBE; symmetry = C2/c (15); DFT total energy = -3.404 eV/atom
1.0
6.917 -1.695 -0.677
-3.256 6.333 -0.677
0.618 0.783 13.795
Cs K Sb
2 2 10
Cartesian
2.744 3.798 2.433
1.535 1.624 10.007
0.000 0.000 0.000
2.139 2.711 6.220
-0.914 3.498 1.567
5.184 -0.078 6.861
-1.163 4.329 8.465
2.830 -0.034 3.110
0.782 4.803 12.477
3.497 0.619 -0.036
1.448 5.456 9.330
5.441 1.092 3.976
-0.906 5.499 5.579
5.193 1.923 10.873

CsKSb3, optimized geometry, DFT PBE; symmetry = Pm-3m (221); E above lowest polymorph = 1227 meV per atom
1.0
6.347 0.000 0.000
0.000 6.347 0.000
0.000 0.000 6.347
Cs Sb K
1 3 1
Cartesian
0.000 0.000 0.000
0.000 3.174 0.000
0.000 0.000 3.174
3.174 0.000 0.000
3.174 3.174 3.174

Cs4K2Sb, optimized geometry, DFT PBE; symmetry = I4/mmm (139); DFT total energy = -1.459 eV/atom
1.0
7.485 0.000 0.000
0.000 7.485 0.000
-3.742 -3.742 12.181
Cs Sb K
4 1 2
Cartesian
3.742 3.742 8.512
0.000 0.000 3.670
0.000 3.742 0.000
3.742 0.000 0.000
0.000 0.000 0.000
3.742 3.742 3.844
0.000 0.000 8.337

Cs2K5Sb2, optimized geometry, DFT PBE; symmetry = C2/m (12); DFT total energy = -2.022 eV/atom
1.0
5.760 0.000 -1.784
-0.456 9.732 -1.472
-0.104 -3.672 9.856
Cs K Sb
2 5 2
Cartesian
3.559 2.595 1.300
1.642 3.465 5.301
3.250 8.003 0.304
1.950 -1.944 6.297
4.595 0.087 4.646
0.605 5.972 1.954
0.000 0.000 0.000
4.156 5.919 3.227
1.045 0.141 3.374

Cs2KSb6, optimized geometry, DFT PBE; symmetry = Immm (71); DFT total energy = -3.272 eV/atom
1.0
-2.802 3.267 -0.664
-2.974 2.124 8.726
5.472 7.700 0.514
Cs K Sb
2 1 6
Cartesian
-1.002 5.497 2.701
0.698 7.594 5.875
0.000 0.000 0.000
-1.810 2.385 5.092
-2.850 7.830 7.719
1.506 10.706 3.484
-2.409 5.055 6.483
2.546 5.260 0.857
2.106 8.035 2.093

Cs2K2Sb3, optimized geometry, DFT PBE; symmetry = C2/m (12); DFT total energy = -2.708 eV/atom
1.0
-1.856 -3.407 -4.181
8.063 0.029 0.288
-4.204 -4.598 5.613
Cs K Sb
2 2 3
Cartesian
3.430 -3.843 -2.281
-1.426 -4.133 4.001
1.039 -6.132 0.645
0.965 -1.844 1.074
-0.928 -1.704 -2.091
-1.757 -3.913 0.077
3.761 -4.063 1.642

CsK2Sb2, optimized geometry, DFT PBE; symmetry = P4/mbm (127); E above lowest polymorph = 44 meV per atom
1.0
-8.241 -4.821 0.822
2.604 -2.962 8.734
-1.937 3.618 1.804
Cs Sb K
2 4 4
Cartesian
0.000 0.000 0.000
-2.819 -3.891 4.778
-0.263 -0.496 6.280
-3.633 -3.760 9.209
-7.311 -3.669 5.079
-3.941 -0.405 2.150
-0.545 -4.030 7.497
-5.069 -5.981 6.553
-5.092 -3.752 2.058
-0.568 -1.801 3.003

CsKSbSe3, optimized geometry, DFT PBE; symmetry = C2/m (12); DFT total energy = -3.481 eV/atom
1.0
7.588 -0.598 -1.659
3.027 6.983 -1.659
1.068 0.642 9.466
Cs K Sb Se
2 2 2 6
Cartesian
7.966 4.792 6.538
3.717 2.236 -0.389
4.586 5.600 3.074
7.097 1.427 3.074
11.262 6.774 4.761
0.421 0.253 1.388
2.298 1.382 6.481
3.573 4.882 6.173
5.987 0.869 6.173
5.696 6.159 -0.024
8.110 2.146 -0.024
9.385 5.646 -0.332

CsKSbSe2, optimized geometry, DFT PBE; symmetry = Pmma (51); DFT total energy = -3.347 eV/atom
1.0
-6.523 3.623 0.189
-4.610 -8.063 -4.538
0.611 0.790 5.923
Cs K Sb Se
2 2 2 4
Cartesian
-3.171 -2.703 2.212
-7.351 -0.947 -0.637
-2.581 1.716 1.560
-3.331 2.697 4.553
0.000 0.000 0.000
0.305 0.395 2.962
-8.631 -3.387 -3.226
-5.841 1.367 1.944
-4.681 -5.017 -0.370
-1.890 -0.262 4.800

CsK2SbSe4, optimized geometry, DFT PBE; symmetry = I-42m (121); DFT total energy = -3.488 eV/atom
1.0
-3.875 4.133 6.268
-4.869 -3.211 4.802
3.040 1.141 6.822
Cs K Sb Se
1 2 1 4
Cartesian
0.000 0.000 0.000
-4.827 -0.056 8.442
-0.876 2.119 9.451
-0.914 -1.035 5.812
-2.556 1.949 12.227
-0.752 1.431 6.277
-1.792 -1.332 3.474
-6.306 2.077 13.807

Cs4K2SnSb2, optimized geometry, DFT PBE; symmetry = Immm (71); DFT total energy = -2.184 eV/atom
1.0
-1.119 2.070 5.261
-9.648 2.273 0.205
-5.041 -7.029 4.845
Cs K Sn Sb
4 2 1 2
Cartesian
-6.930 1.327 1.158
-11.649 1.584 6.361
-8.877 -4.012 9.152
-4.158 -4.270 3.950
-9.879 -2.337 5.124
-5.928 -0.348 5.187
-0.559 1.035 2.630
-3.472 -0.430 2.585
-12.335 -2.255 7.726

CsKSnSb, optimized geometry, DFT PBE; symmetry = Cm (8); DFT total energy = -2.749 eV/atom
1.0
-3.013 1.173 3.222
0.132 -4.293 -1.548
9.481 -1.993 6.383
Cs K Sn Sb
1 1 1 1
Cartesian
-0.118 -2.413 1.525
5.313 -1.538 6.279
2.681 -3.402 4.499
2.663 -0.602 3.462

Cs2K4SnSb2, optimized geometry, DFT PBE; symmetry = Immm (71); DFT total energy = -2.262 eV/atom
1.0
-5.362 -0.178 2.463
-3.635 -8.669 -1.475
0.013 -6.857 6.596
Cs K Sn Sb
2 4 1 2
Cartesian
-4.255 -9.935 4.153
-4.729 -5.768 3.432
-3.146 -6.222 -0.226
-8.031 -10.572 2.957
-5.837 -9.482 7.811
-0.953 -5.132 4.627
-2.681 -0.089 1.232
-2.322 -3.242 1.777
-6.662 -12.462 5.808

CsKTc2Sb, optimized geometry, DFT PBE; symmetry = P4/mmm (123); DFT total energy = -4.093 eV/atom
1.0
5.123 0.000 0.000
0.000 6.754 0.000
0.000 0.000 5.123
Cs Sb K Tc
1 1 1 2
Cartesian
0.000 3.377 0.000
0.000 0.000 0.000
2.562 3.377 2.562
0.000 0.000 2.562
2.562 0.000 0.000

CsKSbTe2, optimized geometry, DFT PBE; symmetry = P4/mmm (123); E above lowest polymorph = 752 meV per atom
1.0
-2.894 -0.523 5.638
-2.898 -5.302 -1.979
4.797 -3.423 2.145
Cs Sb K Te
1 1 1 2
Cartesian
-0.498 -4.624 2.902
2.398 -1.711 1.073
0.000 0.000 0.000
-1.449 -2.651 -0.990
-1.447 -0.261 2.819

CsKSbTe2, optimized geometry, DFT PBE; symmetry = Cmme (67); E above lowest polymorph = 0 meV per atom
1.0
7.297 0.000 0.000
0.000 7.269 0.000
0.000 -3.634 7.767
Cs K Sb Te
2 2 2 4
Cartesian
1.766 3.634 3.884
5.531 0.000 3.884
3.649 5.452 0.000
3.649 1.817 0.000
0.000 0.000 0.000
0.000 3.634 0.000
5.493 3.635 5.382
5.493 3.634 2.385
1.804 0.000 5.382
1.804 0.000 2.385